(1)
Density functional theory data (PBE) for an optimized crystal structure of Sm2Be2Pd5.

Computed properties:
* space-group type: No. 123
* DFT formation energy: -0.695 eV/atom
* spin magnetization: 0.000 Bohr magnetons per cell
* raw total energy: -0.201 hartree per atom

Cell: 4.0818 4.0818 9.1363 Å, 90.00 90.00 90.00°
Closest atoms and distances in Å follow each position.
Sites, in units of the cell vectors:
Sm  0.0000  0.0000  0.0000  8 Pd 3.11, 8 Be 3.14
Sm  0.0000  0.0000  0.5000  12 Pd 2.89-3.01
Be  0.5000  0.5000  0.1361  4 Pd 2.32, 1 Be 2.49
Be  0.5000  0.5000  0.8639  4 Pd 2.32, 1 Be 2.49
Pd  0.5000  0.0000  0.2573  2 Be 2.32
Pd  0.5000  0.0000  0.7427  2 Be 2.32
Pd  0.0000  0.5000  0.2573  2 Be 2.32
Pd  0.0000  0.5000  0.7427  2 Be 2.32
Pd  0.5000  0.5000  0.5000  4 Sm 2.89, 8 Pd 3.01

(2)
Density functional theory data (PBE) for an optimized crystal structure of CaSmI2.

Computed properties:
* space-group type: No. 166
* spin magnetization: 0.001 Bohr magnetons per cell
* raw total energy: -0.119 hartree per atom
* E_form (uncorrected): -75.4 kJ/mol of atoms

Cell: 4.0982 4.0982 10.7355 Å, 79.00 79.00 60.00°
Closest atoms and distances in Å follow each position.
Sites, in units of the cell vectors:
I  0.1025  0.1025  0.6926  3 Ca 3.11, 1 Sm 3.22
I  0.8975  0.8975  0.3074  3 Ca 3.11, 1 Sm 3.22
Ca  0.5000  0.5000  0.5000  6 I 3.11
Sm  0.0000  0.0000  0.0000  2 I 3.22

(3)
Density functional theory data (PBE) for an optimized crystal structure of V4BN.

Computed properties:
* space-group type: No. 14
* spin magnetization: 0.000 Bohr magnetons per cell
* raw total energy: -0.335 hartree per atom
* E_form (uncorrected): -52.0 kJ/mol of atoms

Cell: 5.1526 5.0722 5.0050 Å, 90.00 94.76 90.00°
Closest atoms and distances in Å follow each position.
Sites, in units of the cell vectors:
V  0.8775  0.6387  0.1444  1 N 1.97, 2 B 2.09-2.14
V  0.6225  0.1387  0.8556  1 N 1.97, 2 B 2.09-2.14
V  0.3328  0.3468  0.3709  2 N 2.04, 1 B 2.25
V  0.1672  0.8468  0.6291  2 N 2.04, 1 B 2.25
V  0.1225  0.3613  0.8556  1 N 1.97, 2 B 2.09-2.14
V  0.3775  0.8613  0.1444  1 N 1.97, 2 B 2.09-2.14
V  0.6672  0.6532  0.6291  2 N 2.04, 1 B 2.25
V  0.8328  0.1532  0.3709  2 N 2.04, 1 B 2.25
B  0.0000  0.0000  0.0000  6 V 2.09-2.25
B  0.5000  0.5000  0.0000  6 V 2.09-2.25
N  0.5000  0.0000  0.5000  6 V 1.97-2.04
N  0.0000  0.5000  0.5000  6 V 1.97-2.04

(4)
Density functional theory data (PBE) for an optimized crystal structure of NaSc2V2.

Computed properties:
* space-group type: No. 127
* DFT formation energy: 0.421 eV/atom
* spin magnetization: 0.001 Bohr magnetons per cell
* raw total energy: -0.221 hartree per atom

Cell: 8.1742 8.1742 3.1678 Å, 90.00 90.00 90.00°
Closest atoms and distances in Å follow each position.
Sites, in units of the cell vectors:
Sc  0.1999  0.6999  0.5000  6 V 2.95-2.97, 2 Sc 3.17
Sc  0.6999  0.8001  0.5000  6 V 2.95-2.97, 2 Sc 3.17
Sc  0.8001  0.3001  0.5000  6 V 2.95-2.97, 2 Sc 3.17
Sc  0.3001  0.1999  0.5000  6 V 2.95-2.97, 2 Sc 3.17
Na  0.0000  0.0000  0.0000  2 Na 3.17, 8 Sc 3.35, 4 V 3.47
Na  0.5000  0.5000  0.0000  2 Na 3.17, 8 Sc 3.35, 4 V 3.47
V  0.4156  0.9156  0.0000  1 V 1.95
V  0.9156  0.5844  0.0000  1 V 1.95
V  0.5844  0.0844  0.0000  1 V 1.95
V  0.0844  0.4156  0.0000  1 V 1.95

Q: Look up the raw total energy of the second one.
A: -0.119 hartree per atom